A plane-wave DFT calculation with GGA-PBE was carried out for a relaxed CsPaIO6 crystal.

```
CsPaIO6
1.0
8.010 0.000 0.000
0.000 7.738 0.000
-4.005 -3.869 5.500
Cs Pa I O
2 2 2 12
direct
0.863 0.613 0.727
0.137 0.387 0.273
0.500 0.000 0.500
0.000 0.000 0.500
0.500 0.500 0.000
0.500 0.000 0.000
0.447 0.697 0.893
0.822 0.072 0.643
0.800 0.080 0.249
0.449 0.669 0.249
0.449 0.080 0.249
0.800 0.669 0.249
0.553 0.303 0.107
0.178 0.928 0.357
0.200 0.920 0.751
0.551 0.331 0.751
0.551 0.920 0.751
0.200 0.331 0.751
```

Summary:
Symmetry: No. 74
Raw formation energy, eV per atom: -1.867
DOS(E_F), states/eV per atom: 0.11
Density, g/cm³: 5.7

A plane-wave DFT calculation with GGA-PBE was carried out for a relaxed Cs2PaIO6 crystal.

```
Cs2PaIO6
1.0
-0.740 5.966 1.542
-3.066 0.990 -5.304
-5.682 2.492 0.120
Cs Pa I O
2 1 1 6
direct
0.750 0.250 0.500
0.250 0.750 0.500
0.000 0.000 0.000
0.500 0.500 0.000
0.252 0.252 0.496
0.748 0.748 0.000
0.252 0.748 0.000
0.748 0.252 0.000
0.252 0.252 0.000
0.748 0.748 0.504
```

Summary:
Symmetry: No. 225
Raw formation energy, eV per atom: -1.822
DOS(E_F), states/eV per atom: 0.00
Density, g/cm³: 7.1

A plane-wave DFT calculation with GGA-PBE was carried out for a relaxed CsPbI2O crystal.

```
CsPbI2O
1.0
-0.496 -0.957 -6.273
4.580 -4.410 0.310
-2.974 -3.039 0.699
Pb Cs I O
1 1 2 1
direct
0.000 0.000 0.000
0.500 0.500 0.500
0.000 0.500 0.000
0.500 0.000 0.000
0.000 0.000 0.500
```

Summary:
Energy above the most stable polymorph in this dataset, meV/atom: 0
Symmetry: No. 123
Raw formation energy, eV per atom: -0.871
DOS(E_F), states/eV per atom: 0.17
Density, g/cm³: 5.8

Q: Number 3 is which compound?
A: CsPbI2O